Record 1
VASP calculation (GGA-PBE) on a relaxed structure of HPd3Br.

a = 4.8025 Å, b = 4.8025 Å, c = 4.8025 Å
α = 90.00°, β = 90.00°, γ = 90.00°
Last column: nearest neighbours and their distance in Å.
Positions (direct):
H: 0.0000 0.0000 0.0000  12 Pd 3.40
Pd: 0.0000 0.5000 0.5000  2 Br 2.40
Pd: 0.5000 0.0000 0.5000  2 Br 2.40
Pd: 0.5000 0.5000 0.0000  2 Br 2.40
Br: 0.5000 0.5000 0.5000  6 Pd 2.40

=====

Record 2
VASP calculation (GGA-PBE) on a relaxed structure of HPdBr3.

a = 4.6752 Å, b = 4.6752 Å, c = 4.6752 Å
α = 90.00°, β = 90.00°, γ = 90.00°
Last column: nearest neighbours and their distance in Å.
Positions (direct):
H: 0.0000 0.0000 0.0000  6 Br 2.34
Pd: 0.5000 0.5000 0.5000  12 Br 3.31
Br: 0.0000 0.0000 0.5000  2 H 2.34
Br: 0.0000 0.5000 0.0000  2 H 2.34
Br: 0.5000 0.0000 0.0000  2 H 2.34

=====

Record 3
VASP calculation (GGA-PBE) on a relaxed structure of HPdBr4.

a = 9.1862 Å, b = 9.1862 Å, c = 6.6967 Å
α = 94.04°, β = 94.04°, γ = 140.52°
Last column: nearest neighbours and their distance in Å.
Positions (direct):
H: 0.1575 0.8425 0.7500  2 Br 1.72
H: 0.8425 0.1575 0.2500  2 Br 1.72
Pd: 0.4434 0.5566 0.2500  6 Br 2.56-2.61
Pd: 0.5566 0.4434 0.7500  6 Br 2.56-2.61
Br: 0.1064 0.4387 0.3673  1 H 1.72
Br: 0.2161 0.3098 0.8888  2 Pd 2.56-2.61
Br: 0.3098 0.2161 0.3888  2 Pd 2.56-2.61
Br: 0.4387 0.1064 0.8673  1 H 1.72
Br: 0.5613 0.8936 0.1327  1 H 1.72
Br: 0.6902 0.7839 0.6112  2 Pd 2.56-2.61
Br: 0.7839 0.6902 0.1112  2 Pd 2.56-2.61
Br: 0.8936 0.5613 0.6327  1 H 1.72

=====

Record 4
VASP calculation (GGA-PBE) on a relaxed structure of HPdBr.

a = 9.3160 Å, b = 3.3894 Å, c = 7.4993 Å
α = 90.00°, β = 90.00°, γ = 90.00°
Last column: nearest neighbours and their distance in Å.
Positions (direct):
H: 0.0519 0.2500 0.0832  1 Pd 1.68
H: 0.4481 0.7500 0.5832  1 Pd 1.68
H: 0.5519 0.2500 0.4168  1 Pd 1.68
H: 0.9481 0.7500 0.9168  1 Pd 1.68
Pd: 0.1170 0.7500 0.9969  1 H 1.68
Pd: 0.3830 0.2500 0.4969  1 H 1.68
Pd: 0.6170 0.7500 0.5031  1 H 1.68
Pd: 0.8830 0.2500 0.0031  1 H 1.68
Br: 0.1858 0.7500 0.4405  2 Pd 2.53, 1 H 2.67
Br: 0.3142 0.2500 0.9405  2 Pd 2.53, 1 H 2.67
Br: 0.6858 0.7500 0.0595  2 Pd 2.53, 1 H 2.67
Br: 0.8142 0.2500 0.5595  2 Pd 2.53, 1 H 2.67

=====

Record 5
VASP calculation (GGA-PBE) on a relaxed structure of H2Pd2Br.

a = 6.1130 Å, b = 6.1130 Å, c = 6.1130 Å
α = 148.48°, β = 148.48°, γ = 45.17°
Last column: nearest neighbours and their distance in Å.
Positions (direct):
H: 0.2500 0.7500 0.5000  4 Pd 1.90
H: 0.7500 0.2500 0.5000  4 Pd 1.90
Pd: 0.1677 0.1677 0.0000  4 H 1.90
Pd: 0.8323 0.8323 0.0000  4 H 1.90
Br: 0.5000 0.5000 0.0000  8 Pd 3.02, 8 H 3.27, 4 Br 3.32

=====

Record 6
VASP calculation (GGA-PBE) on a relaxed structure of H2PdBr6.

a = 8.6734 Å, b = 8.6734 Å, c = 11.3136 Å
α = 97.74°, β = 97.74°, γ = 44.69°
Last column: nearest neighbours and their distance in Å.
Positions (direct):
H: 0.0210 0.3175 0.3450  1 Br 1.54
H: 0.3175 0.0210 0.8450  1 Br 1.54
H: 0.6825 0.9790 0.1550  1 Br 1.54
H: 0.9790 0.6825 0.6550  1 Br 1.54
Pd: 0.3632 0.6368 0.7500  4 Br 2.46-2.47
Pd: 0.6368 0.3632 0.2500  4 Br 2.46-2.47
Br: 0.1573 0.1633 0.4490  1 H 1.54
Br: 0.1633 0.1573 0.9490  1 H 1.54
Br: 0.2132 0.4873 0.7791  1 H 1.99
Br: 0.3065 0.6072 0.5328  1 Pd 2.46, 1 Br 2.59
Br: 0.3928 0.6935 0.9672  1 Pd 2.46, 1 Br 2.59
Br: 0.4873 0.2132 0.2791  1 H 1.99
Br: 0.5127 0.7868 0.7209  1 H 1.99
Br: 0.6072 0.3065 0.0328  1 Pd 2.46, 1 Br 2.59
Br: 0.6935 0.3928 0.4672  1 Pd 2.46, 1 Br 2.59
Br: 0.7868 0.5127 0.2209  1 H 1.99
Br: 0.8367 0.8427 0.0510  1 H 1.54
Br: 0.8427 0.8367 0.5510  1 H 1.54

=====

Record 7
VASP calculation (GGA-PBE) on a relaxed structure of HPdBr.

a = 5.4616 Å, b = 5.4616 Å, c = 5.4616 Å
α = 139.36°, β = 90.86°, γ = 103.07°
Last column: nearest neighbours and their distance in Å.
Positions (direct):
H: 0.3961 0.1461 0.2500  1 Pd 1.54
H: 0.6039 0.8539 0.7500  1 Pd 1.54
Pd: 0.1700 0.9200 0.2500  1 H 1.54
Pd: 0.8300 0.0800 0.7500  1 H 1.54
Br: 0.0000 0.5000 0.5000  4 Pd 2.75, 6 H 2.87-3.07
Br: 0.5000 0.5000 0.0000  4 Pd 2.75, 6 H 2.87-3.07

=====

Record 8
VASP calculation (GGA-PBE) on a relaxed structure of H3PdBr.

a = 3.8090 Å, b = 3.8090 Å, c = 3.8090 Å
α = 90.00°, β = 90.00°, γ = 90.00°
Last column: nearest neighbours and their distance in Å.
Positions (direct):
H: 0.0000 0.0000 0.5000  2 Br 1.90
H: 0.0000 0.5000 0.0000  2 Br 1.90
H: 0.5000 0.0000 0.0000  2 Br 1.90
Pd: 0.5000 0.5000 0.5000  12 H 2.69
Br: 0.0000 0.0000 0.0000  6 H 1.90

=====

Record 9
VASP calculation (GGA-PBE) on a relaxed structure of H2Pd4Br.

a = 5.1856 Å, b = 5.8818 Å, c = 7.0328 Å
α = 106.55°, β = 98.55°, γ = 108.82°
Last column: nearest neighbours and their distance in Å.
Positions (direct):
H: 0.0000 0.0000 0.0000  4 Pd 1.83-2.04
H: 0.0113 0.6423 0.5526  3 Pd 1.76-1.84
H: 0.5790 0.1720 0.1453  3 Pd 1.80-1.88
H: 0.9313 0.4551 0.0007  3 Pd 1.84-2.02
Pd: 0.0027 0.4566 0.7107  1 H 1.76
Pd: 0.0072 0.9438 0.7193  2 H 1.84-1.91
Pd: 0.2351 0.3761 0.0813  2 H 1.84-2.01
Pd: 0.2599 0.8833 0.0964  2 H 1.83-1.85
Pd: 0.6143 0.1552 0.8914  2 H 1.80-1.84
Pd: 0.6407 0.6640 0.9042  1 H 2.08
Pd: 0.8651 0.5752 0.2812  2 H 1.82-2.02
Pd: 0.8722 0.0914 0.2623  2 H 1.88-2.04
Br: 0.3465 0.2774 0.5722  4 Pd 2.53-2.74
Br: 0.5402 0.7945 0.4164  5 Pd 2.57-2.76

=====

Record 10
VASP calculation (GGA-PBE) on a relaxed structure of H2PdBr3.

a = 7.2220 Å, b = 7.3197 Å, c = 7.6523 Å
α = 102.37°, β = 105.57°, γ = 107.92°
Last column: nearest neighbours and their distance in Å.
Positions (direct):
H: 0.0477 0.2355 0.3237  2 Br 1.71-1.73
H: 0.2440 0.0639 0.8354  2 Br 1.70-1.73
H: 0.7560 0.9361 0.1646  2 Br 1.70-1.73
H: 0.9523 0.7645 0.6763  2 Br 1.71-1.73
Pd: 0.4959 0.5039 0.7497  4 Br 2.61-2.62
Pd: 0.5041 0.4961 0.2503  4 Br 2.61-2.62
Br: 0.2123 0.8117 0.7618  2 H 1.71-1.73
Br: 0.2458 0.3027 0.8960  1 H 1.70
Br: 0.3017 0.2514 0.3999  1 H 1.73
Br: 0.6983 0.7486 0.6001  1 H 1.73
Br: 0.7542 0.6973 0.1040  1 H 1.70
Br: 0.7877 0.1883 0.2382  2 H 1.71-1.73

=====

Record 11
VASP calculation (GGA-PBE) on a relaxed structure of HPdBr3.

a = 5.5905 Å, b = 7.6923 Å, c = 7.6926 Å
α = 68.74°, β = 83.15°, γ = 82.92°
Last column: nearest neighbours and their distance in Å.
Positions (direct):
H: 0.1427 0.4402 0.4400  2 Pd 1.71
H: 0.8573 0.5598 0.5600  2 Pd 1.71
Pd: 0.1570 0.5740 0.5737  2 H 1.71
Pd: 0.8430 0.4260 0.4263  2 H 1.71
Br: 0.1672 0.8593 0.3057  1 Pd 2.41
Br: 0.1716 0.3059 0.8588  1 Pd 2.41
Br: 0.4467 0.7026 0.7017  1 Pd 2.46, 1 H 2.70
Br: 0.5533 0.2974 0.2983  1 Pd 2.46, 1 H 2.70
Br: 0.8284 0.6941 0.1412  1 Pd 2.41
Br: 0.8328 0.1407 0.6943  1 Pd 2.41

=====

Record 12
VASP calculation (GGA-PBE) on a relaxed structure of H3PdBr.

a = 3.7291 Å, b = 3.7291 Å, c = 3.7291 Å
α = 90.00°, β = 90.00°, γ = 90.00°
Last column: nearest neighbours and their distance in Å.
Positions (direct):
H: 0.0000 0.0000 0.5000  2 Pd 1.86
H: 0.0000 0.5000 0.0000  2 Pd 1.86
H: 0.5000 0.0000 0.0000  2 Pd 1.86
Pd: 0.0000 0.0000 0.0000  6 H 1.86
Br: 0.5000 0.5000 0.5000  12 H 2.64

=====

Record 13
VASP calculation (GGA-PBE) on a relaxed structure of HPdBr.

a = 7.7168 Å, b = 6.6947 Å, c = 6.0337 Å
α = 74.44°, β = 56.69°, γ = 48.87°
Last column: nearest neighbours and their distance in Å.
Positions (direct):
H: 0.0440 0.0440 0.2060  2 Pd 1.71, 1 H 1.89
H: 0.2060 0.2060 0.0440  2 Pd 1.71, 1 H 1.89
H: 0.7940 0.7940 0.9560  2 Pd 1.71, 1 H 1.89
H: 0.9560 0.9560 0.7940  2 Pd 1.71, 1 H 1.89
Pd: 0.0915 0.6585 0.6585  2 H 1.71
Pd: 0.3415 0.9085 0.9085  2 H 1.71
Pd: 0.6585 0.0915 0.0915  2 H 1.71
Pd: 0.9085 0.3415 0.3415  2 H 1.71
Br: 0.1951 0.1951 0.5549  4 Pd 2.67-2.81, 1 H 2.79
Br: 0.4451 0.4451 0.8049  4 Pd 2.67-2.81, 1 H 2.79
Br: 0.5549 0.5549 0.1951  4 Pd 2.67-2.81, 1 H 2.79
Br: 0.8049 0.8049 0.4451  4 Pd 2.67-2.81, 1 H 2.79

=====

Record 14
VASP calculation (GGA-PBE) on a relaxed structure of RbHPdBr.

a = 5.0347 Å, b = 3.6823 Å, c = 5.6354 Å
α = 90.00°, β = 116.35°, γ = 90.00°
Last column: nearest neighbours and their distance in Å.
Positions (direct):
Rb: 0.0000 0.0000 0.0000  3 H 2.96-3.27
H: 0.7054 0.0000 0.4140  2 Pd 1.84
Pd: 0.7125 0.5000 0.4281  2 H 1.84
Br: 0.2769 0.5000 0.5578  2 Pd 2.60

=====

Record 15
VASP calculation (GGA-PBE) on a relaxed structure of RbHPdBr.

a = 4.5864 Å, b = 4.2656 Å, c = 5.7801 Å
α = 90.00°, β = 111.98°, γ = 90.00°
Last column: nearest neighbours and their distance in Å.
Positions (direct):
Rb: 0.0000 0.0000 0.0000  4 H 3.15-3.16
H: 0.5356 0.5000 0.0723  1 Pd 1.62
Pd: 0.6764 0.5000 0.3747  1 H 1.62
Br: 0.2643 0.5000 0.5617  2 Pd 2.50, 1 H 2.74

=====

Record 16
VASP calculation (GGA-PBE) on a relaxed structure of RbHPdBr.

a = 3.3506 Å, b = 4.8070 Å, c = 6.4939 Å
α = 90.38°, β = 104.65°, γ = 90.00°
Last column: nearest neighbours and their distance in Å.
Positions (direct):
Rb: 0.0000 0.0000 0.0000  2 H 2.88
H: 0.8656 0.4971 0.7478  2 Pd 1.86
Pd: 0.3018 0.4985 0.6186  2 H 1.86
Br: 0.6410 0.5023 0.2892  2 Pd 2.66, 1 H 2.88

=====

Record 17
VASP calculation (GGA-PBE) on a relaxed structure of RbHPdBr.

a = 3.3445 Å, b = 5.7631 Å, c = 5.7990 Å
α = 65.39°, β = 75.47°, γ = 75.24°
Last column: nearest neighbours and their distance in Å.
Positions (direct):
Rb: 0.0000 0.0000 0.0000  1 H 2.71
H: 0.3352 0.7087 0.7091  2 Pd 1.85
Pd: 0.9096 0.6237 0.6227  2 H 1.85
Br: 0.6045 0.3989 0.3987  2 Pd 2.67, 1 H 2.88

=====

Record 18
VASP calculation (GGA-PBE) on a relaxed structure of Rb2HPdBr6.

a = 7.2954 Å, b = 7.2954 Å, c = 8.3092 Å
α = 123.02°, β = 123.02°, γ = 68.47°
Last column: nearest neighbours and their distance in Å.
Positions (direct):
Rb: 0.2495 0.2495 0.2298  9 Br 3.68-3.86
Rb: 0.7505 0.7505 0.7702  9 Br 3.68-3.86
H: 0.5000 0.5000 0.0000  2 Br 1.70
Pd: 0.0000 0.0000 0.5000  4 Br 2.49
Br: 0.2006 0.7722 0.6988  1 Pd 2.49
Br: 0.2278 0.7994 0.3012  1 Pd 2.49
Br: 0.3125 0.3125 0.8306  1 H 1.70
Br: 0.6875 0.6875 0.1694  1 H 1.70
Br: 0.7722 0.2006 0.6988  1 Pd 2.49
Br: 0.7994 0.2278 0.3012  1 Pd 2.49

=====

Record 19
VASP calculation (GGA-PBE) on a relaxed structure of RbHPdBr6.

a = 6.5142 Å, b = 6.9968 Å, c = 7.8817 Å
α = 104.83°, β = 112.95°, γ = 104.57°
Last column: nearest neighbours and their distance in Å.
Positions (direct):
Rb: 0.0000 0.0000 0.0000  10 Br 3.55-3.83, 2 H 3.95
H: 0.5000 0.5000 0.5000  2 Br 1.72
Pd: 0.0000 0.5000 0.5000  6 Br 2.52-2.54
Br: 0.0607 0.5792 0.2226  1 Pd 2.54
Br: 0.3145 0.3399 0.5592  1 H 1.72
Br: 0.3294 0.8636 0.7542  1 Pd 2.53
Br: 0.6706 0.1364 0.2458  1 Pd 2.53
Br: 0.6855 0.6601 0.4408  1 H 1.72
Br: 0.9393 0.4208 0.7774  1 Pd 2.54

=====

Record 20
VASP calculation (GGA-PBE) on a relaxed structure of Rb2HPdBr6.

a = 7.6166 Å, b = 7.6166 Å, c = 7.6166 Å
α = 124.73°, β = 124.73°, γ = 81.99°
Last column: nearest neighbours and their distance in Å.
Positions (direct):
Rb: 0.2500 0.7500 0.5000  12 Br 3.55-3.81
Rb: 0.7500 0.2500 0.5000  12 Br 3.55-3.81
H: 0.0000 0.0000 0.0000  4 Br 2.39
Pd: 0.5000 0.5000 0.0000  6 Br 2.50-2.61
Br: 0.2392 0.2392 0.4785  1 H 2.39, 1 Pd 2.61
Br: 0.2392 0.7608 0.0000  1 H 2.39, 1 Pd 2.61
Br: 0.2828 0.2828 0.0000  1 Pd 2.50
Br: 0.7172 0.7172 0.0000  1 Pd 2.50
Br: 0.7608 0.2392 0.0000  1 H 2.39, 1 Pd 2.61
Br: 0.7608 0.7608 0.5215  1 H 2.39, 1 Pd 2.61

=====

Record 21
VASP calculation (GGA-PBE) on a relaxed structure of HPdRuBr2.

a = 5.2157 Å, b = 5.2157 Å, c = 3.3864 Å
α = 90.00°, β = 90.00°, γ = 90.00°
Last column: nearest neighbours and their distance in Å.
Positions (direct):
H: 0.0000 0.0000 0.0000  2 Pd 1.69
Pd: 0.0000 0.0000 0.5000  2 H 1.69
Ru: 0.5000 0.5000 0.0000  8 Br 3.11, 2 Ru 3.39
Br: 0.0000 0.5000 0.5000  2 Pd 2.61
Br: 0.5000 0.0000 0.5000  2 Pd 2.61

=====

Record 22
VASP calculation (GGA-PBE) on a relaxed structure of Sc2HPdBr.

a = 5.2783 Å, b = 5.2783 Å, c = 3.4248 Å
α = 90.00°, β = 90.00°, γ = 90.00°
Last column: nearest neighbours and their distance in Å.
Positions (direct):
Sc: 0.0000 0.5000 0.0000  2 Pd 2.64
Sc: 0.5000 0.0000 0.0000  2 Pd 2.64
H: 0.0000 0.0000 0.5000  2 Pd 1.71
Pd: 0.0000 0.0000 0.0000  2 H 1.71
Br: 0.5000 0.5000 0.5000  8 Sc 3.15, 2 Br 3.42

=====

Record 23
VASP calculation (GGA-PBE) on a relaxed structure of HPdSeBr2.

a = 5.2250 Å, b = 5.2250 Å, c = 3.4617 Å
α = 90.00°, β = 90.00°, γ = 90.00°
Last column: nearest neighbours and their distance in Å.
Positions (direct):
H: 0.0000 0.0000 0.0000  2 Se 1.73
Pd: 0.5000 0.5000 0.5000  8 Br 3.13, 2 Pd 3.46
Se: 0.0000 0.0000 0.5000  2 H 1.73
Br: 0.0000 0.5000 0.0000  2 H 2.61
Br: 0.5000 0.0000 0.0000  2 H 2.61

=====

Record 24
VASP calculation (GGA-PBE) on a relaxed structure of HPdSeBr2.

a = 5.2815 Å, b = 5.2815 Å, c = 4.8060 Å
α = 90.00°, β = 90.00°, γ = 90.00°
Last column: nearest neighbours and their distance in Å.
Positions (direct):
H: 0.0000 0.0000 0.0000  8 Br 3.57, 4 Se 3.73
Pd: 0.5000 0.5000 0.5000  2 Se 2.40, 4 Br 2.64
Se: 0.5000 0.5000 0.0000  2 Pd 2.40
Br: 0.0000 0.5000 0.5000  2 Pd 2.64
Br: 0.5000 0.0000 0.5000  2 Pd 2.64

=====

Number 1: E_tot -0.1124 hartree per atom. Number 2: E_tot -0.0705 hartree per atom. Number 3: E_tot -0.1004 hartree per atom. Number 4: E_tot -0.1280 hartree per atom. Number 5: E_tot -0.1364 hartree per atom. Number 6: E_tot -0.0948 hartree per atom. Number 7: E_tot -0.1179 hartree per atom. Number 8: E_tot -0.0827 hartree per atom. Number 9: E_tot -0.1517 hartree per atom. Number 10: E_tot -0.1070 hartree per atom. Number 11: E_tot -0.1010 hartree per atom. Number 12: E_tot -0.1035 hartree per atom. Number 13: E_tot -0.1263 hartree per atom. Number 14: E_tot -0.1203 hartree per atom. Number 15: E_tot -0.1160 hartree per atom. Number 16: E_tot -0.1163 hartree per atom. Number 17: E_tot -0.1152 hartree per atom. Number 18: E_tot -0.1062 hartree per atom. Number 19: E_tot -0.1001 hartree per atom. Number 20: E_tot -0.1002 hartree per atom. Number 21: E_tot -0.1340 hartree per atom. Number 22: E_tot -0.1781 hartree per atom. Number 23: E_tot -0.0913 hartree per atom. Number 24: E_tot -0.0923 hartree per atom.